Version a
DFT (PBE) results for crystalline Ac2GaPd2 at its relaxed geometry.

Results
Symmetry: C2/m (12)

Cell lengths 6.3297, 6.3297, 11.4040 Å; angles 116.91, 116.91, 40.65 degrees
With the nearest neighbours (Å) after each atom.
Atoms (fractional coordinates):
Ac1 0.0096 0.0096 0.3365  6 Pd 3.19-3.38, 4 Ga 3.30-3.49
Ac2 0.1858 0.1858 0.1107  6 Pd 3.24-3.54, 2 Ga 3.43
Ac3 0.8142 0.8142 0.8893  6 Pd 3.24-3.54, 2 Ga 3.43
Ac4 0.9904 0.9904 0.6635  6 Pd 3.19-3.38, 4 Ga 3.30-3.49
Ga1 0.2735 0.2735 0.6410  3 Pd 2.57-2.79
Ga2 0.7265 0.7265 0.3590  3 Pd 2.57-2.79
Pd1 0.3548 0.3548 0.4344  2 Ga 2.57
Pd2 0.4900 0.4900 0.1239  1 Ga 2.79, 1 Pd 2.95
Pd3 0.5100 0.5100 0.8761  1 Ga 2.79, 1 Pd 2.95
Pd4 0.6452 0.6452 0.5656  2 Ga 2.57

Version b
DFT (PBE) results for crystalline Ac2GaPd2 at its relaxed geometry.

Results
Symmetry: Immm (71)

Cell lengths 4.5953, 5.9672, 9.2047 Å; angles 90.00, 90.00, 90.00 degrees
With the nearest neighbours (Å) after each atom.
Atoms (fractional coordinates):
Ac1 0.0000 0.0000 0.2011  6 Pd 3.15-3.29, 2 Ga 3.51
Ac2 0.0000 0.0000 0.7989  6 Pd 3.15-3.29, 2 Ga 3.51
Ac3 0.5000 0.5000 0.2989  6 Pd 3.15-3.29, 2 Ga 3.51
Ac4 0.5000 0.5000 0.7011  6 Pd 3.15-3.29, 2 Ga 3.51
Ga1 0.0000 0.5000 0.0000  4 Pd 2.77
Ga2 0.5000 0.0000 0.5000  4 Pd 2.77
Pd1 0.0000 0.2579 0.5000  2 Ga 2.77, 2 Pd 2.89-3.08
Pd2 0.0000 0.7421 0.5000  2 Ga 2.77, 2 Pd 2.89-3.08
Pd3 0.5000 0.2421 0.0000  2 Ga 2.77, 2 Pd 2.89-3.08
Pd4 0.5000 0.7579 0.0000  2 Ga 2.77, 2 Pd 2.89-3.08

Which one sits at the bottom of the stability order? version b does.

Version a
DFT (PBE) results for crystalline AcPmGa at its relaxed geometry.

Results
Symmetry: I4mm (107)

Cell lengths 3.8205, 3.8205, 13.1169 Å; angles 90.00, 90.00, 90.00 degrees
With the nearest neighbours (Å) after each atom.
Atoms (fractional coordinates):
Ac1 0.0000 0.0000 0.0000  4 Ga 3.41, 1 Pm 3.70
Ac2 0.5000 0.5000 0.5000  4 Ga 3.41, 1 Pm 3.70
Pm1 0.0000 0.0000 0.2817  4 Ga 3.15
Pm2 0.5000 0.5000 0.7817  4 Ga 3.15
Ga1 0.0000 0.0000 0.6582  4 Pm 3.15, 4 Ac 3.41
Ga2 0.5000 0.5000 0.1582  4 Pm 3.15, 4 Ac 3.41

Version b
DFT (PBE) results for crystalline AcPmGa at its relaxed geometry.

Results
Symmetry: P4/nmm (129)

Cell lengths 4.8566, 4.8566, 8.1541 Å; angles 90.00, 90.00, 90.00 degrees
With the nearest neighbours (Å) after each atom.
Atoms (fractional coordinates):
Ac1 0.2500 0.2500 0.1392  5 Ga 3.21-3.56
Ac2 0.7500 0.7500 0.8608  5 Ga 3.21-3.56
Pm1 0.2500 0.7500 0.5000  4 Ga 3.15, 4 Pm 3.43
Pm2 0.7500 0.2500 0.5000  4 Ga 3.15, 4 Pm 3.43
Ga1 0.2500 0.2500 0.7454  4 Pm 3.15, 1 Ac 3.21
Ga2 0.7500 0.7500 0.2546  4 Pm 3.15, 1 Ac 3.21

Which one sits at the bottom of the stability order? version a does.

Version a
DFT (PBE) results for crystalline AcPmGa4 at its relaxed geometry.

Results
Symmetry: F-43m (216)

Cell lengths 5.7522, 5.7522, 5.7522 Å; angles 60.00, 60.00, 60.00 degrees
With the nearest neighbours (Å) after each atom.
Atoms (fractional coordinates):
Ac1 0.0000 0.0000 0.0000  12 Ga 3.37, 4 Pm 3.52
Pm1 0.2500 0.2500 0.2500  12 Ga 3.37, 4 Ac 3.52
Ga1 0.1259 0.6247 0.6247  6 Ga 2.87-2.88
Ga2 0.6247 0.1259 0.6247  6 Ga 2.87-2.88
Ga3 0.6247 0.6247 0.1259  6 Ga 2.87-2.88
Ga4 0.6247 0.6247 0.6247  6 Ga 2.87-2.88

Version b
DFT (PBE) results for crystalline AcPmGa4 at its relaxed geometry.

Results
Symmetry: I-4m2 (119)

Cell lengths 4.3910, 4.3910, 15.1367 Å; angles 90.00, 90.00, 90.00 degrees
With the nearest neighbours (Å) after each atom.
Atoms (fractional coordinates):
Ac1 0.0000 0.0000 0.0000  12 Ga 3.37
Ac2 0.5000 0.5000 0.5000  12 Ga 3.37
Pm1 0.0000 0.5000 0.2500  12 Ga 3.31-3.34
Pm2 0.5000 0.0000 0.7500  12 Ga 3.31-3.34
Ga1 0.0000 0.0000 0.4137  3 Ga 2.53-2.61
Ga2 0.0000 0.0000 0.5863  3 Ga 2.53-2.61
Ga3 0.0000 0.5000 0.6690  3 Ga 2.45-2.53
Ga4 0.0000 0.5000 0.8310  3 Ga 2.45-2.53
Ga5 0.5000 0.0000 0.1690  3 Ga 2.45-2.53
Ga6 0.5000 0.0000 0.3310  3 Ga 2.45-2.53
Ga7 0.5000 0.5000 0.0863  3 Ga 2.53-2.61
Ga8 0.5000 0.5000 0.9137  3 Ga 2.53-2.61

Version c
DFT (PBE) results for crystalline AcPmGa4 at its relaxed geometry.

Results
Symmetry: P6/mmm (191)

Cell lengths 4.3277, 4.3277, 8.9747 Å; angles 90.00, 90.00, 120.00 degrees
With the nearest neighbours (Å) after each atom.
Atoms (fractional coordinates):
Ac1 0.0000 0.0000 0.0000  12 Ga 3.46
Pm1 0.0000 0.0000 0.5000  12 Ga 3.26
Ga1 0.3333 0.6667 0.2667  3 Ga 2.50
Ga2 0.3333 0.6667 0.7333  3 Ga 2.50
Ga3 0.6667 0.3333 0.2667  3 Ga 2.50
Ga4 0.6667 0.3333 0.7333  3 Ga 2.50

Which one sits at the bottom of the stability order? version a does.

Version a
DFT (PBE) results for crystalline AcPmGaRh at its relaxed geometry.

Results
Symmetry: F-43m (216)

Cell lengths 7.4299, 7.4299, 7.4299 Å; angles 90.00, 90.00, 90.00 degrees
With the nearest neighbours (Å) after each atom.
Atoms (fractional coordinates):
Ac1 0.0000 0.0000 0.0000  4 Ga 3.22, 4 Rh 3.22
Ac2 0.0000 0.5000 0.5000  4 Ga 3.22, 4 Rh 3.22
Ac3 0.5000 0.0000 0.5000  4 Ga 3.22, 4 Rh 3.22
Ac4 0.5000 0.5000 0.0000  4 Ga 3.22, 4 Rh 3.22
Pm1 0.0000 0.0000 0.5000  4 Rh 3.22, 4 Ga 3.22
Pm2 0.0000 0.5000 0.0000  4 Rh 3.22, 4 Ga 3.22
Pm3 0.5000 0.0000 0.0000  4 Rh 3.22, 4 Ga 3.22
Pm4 0.5000 0.5000 0.5000  4 Rh 3.22, 4 Ga 3.22
Ga1 0.2500 0.2500 0.2500  4 Ac 3.22, 4 Pm 3.22
Ga2 0.2500 0.7500 0.7500  4 Ac 3.22, 4 Pm 3.22
Ga3 0.7500 0.2500 0.7500  4 Ac 3.22, 4 Pm 3.22
Ga4 0.7500 0.7500 0.2500  4 Ac 3.22, 4 Pm 3.22
Rh1 0.2500 0.2500 0.7500  4 Ac 3.22, 4 Pm 3.22
Rh2 0.2500 0.7500 0.2500  4 Ac 3.22, 4 Pm 3.22
Rh3 0.7500 0.2500 0.2500  4 Ac 3.22, 4 Pm 3.22
Rh4 0.7500 0.7500 0.7500  4 Ac 3.22, 4 Pm 3.22

Version b
DFT (PBE) results for crystalline AcPmGaRh at its relaxed geometry.

Results
Symmetry: Amm2 (38)

Cell lengths 4.4275, 4.4942, 10.6294 Å; angles 90.00, 90.00, 90.00 degrees
With the nearest neighbours (Å) after each atom.
Atoms (fractional coordinates):
Ac1 0.0000 0.0000 0.0000  1 Rh 2.92
Ac2 0.0000 0.5000 0.5000  1 Rh 2.92
Pm1 0.5000 0.0000 0.2869  3 Ga 3.07-3.23, 4 Rh 3.22
Pm2 0.5000 0.5000 0.7869  3 Ga 3.07-3.23, 4 Rh 3.22
Ga1 0.5000 0.0000 0.5903  2 Rh 2.64
Ga2 0.5000 0.5000 0.0903  2 Rh 2.64
Rh1 0.0000 0.0000 0.7258  2 Ga 2.64, 1 Ac 2.92
Rh2 0.0000 0.5000 0.2258  2 Ga 2.64, 1 Ac 2.92

Which one sits at the bottom of the stability order? version a does.

Version a
DFT (PBE) results for crystalline AcPr2Ga6 at its relaxed geometry.

Results
Symmetry: P6/mmm (191)

Cell lengths 7.4924, 7.4924, 4.4923 Å; angles 90.00, 90.00, 120.00 degrees
With the nearest neighbours (Å) after each atom.
Atoms (fractional coordinates):
Ac1 0.0000 0.0000 0.0000  12 Ga 3.38
Pr1 0.3333 0.6667 0.0000  12 Ga 3.35
Pr2 0.6667 0.3333 0.0000  12 Ga 3.35
Ga1 0.0000 0.3364 0.5000  3 Ga 2.45-2.52
Ga2 0.0000 0.6636 0.5000  3 Ga 2.45-2.52
Ga3 0.3364 0.0000 0.5000  3 Ga 2.45-2.52
Ga4 0.3364 0.3364 0.5000  3 Ga 2.45-2.52
Ga5 0.6636 0.0000 0.5000  3 Ga 2.45-2.52
Ga6 0.6636 0.6636 0.5000  3 Ga 2.45-2.52

Version b
DFT (PBE) results for crystalline AcPr2Ga6 at its relaxed geometry.

Results
Symmetry: Immm (71)

Cell lengths 8.0000, 8.0000, 8.0000 Å; angles 146.82, 124.03, 66.63 degrees
With the nearest neighbours (Å) after each atom.
Atoms (fractional coordinates):
Ac1 0.0000 0.0000 0.0000  12 Ga 3.35-3.63
Pr1 0.3694 0.8694 0.5000  6 Ga 2.94-3.16
Pr2 0.6306 0.1306 0.5000  6 Ga 2.94-3.16
Ga1 0.0171 0.3204 0.6967  1 Ga 2.59
Ga2 0.3259 0.5000 0.8259  3 Ga 2.59-2.61
Ga3 0.3763 0.6796 0.6967  1 Ga 2.59
Ga4 0.6237 0.3204 0.3033  1 Ga 2.59
Ga5 0.6741 0.5000 0.1741  3 Ga 2.59-2.61
Ga6 0.9829 0.6796 0.3033  1 Ga 2.59

Which one sits at the bottom of the stability order? version b does.

Version a
DFT (PBE) results for crystalline AcPr3Ga2 at its relaxed geometry.

Results
Symmetry: C2/m (12)

Cell lengths 9.4037, 9.4037, 9.2313 Å; angles 112.35, 112.35, 29.94 degrees
With the nearest neighbours (Å) after each atom.
Atoms (fractional coordinates):
Ac1 0.1189 0.1189 0.1519  4 Ga 3.26-3.55, 2 Pr 3.61
Ac2 0.8811 0.8811 0.8481  4 Ga 3.26-3.55, 2 Pr 3.61
Pr1 0.0491 0.0491 0.6889  3 Ga 3.16-3.19, 3 Pr 3.23-3.54
Pr2 0.3181 0.3181 0.0652  2 Ga 3.05-3.11, 2 Pr 3.34
Pr3 0.3524 0.3524 0.5181  4 Ga 3.13-3.33
Pr4 0.6476 0.6476 0.4819  4 Ga 3.13-3.33
Pr5 0.6819 0.6819 0.9348  2 Ga 3.05-3.11, 2 Pr 3.34
Pr6 0.9509 0.9509 0.3111  3 Ga 3.16-3.19, 3 Pr 3.23-3.54
Ga1 0.2272 0.2272 0.7014  5 Pr 3.11-3.33
Ga2 0.4980 0.4980 0.1450  1 Ga 2.71
Ga3 0.5020 0.5020 0.8550  1 Ga 2.71
Ga4 0.7728 0.7728 0.2986  5 Pr 3.11-3.33

Version b
DFT (PBE) results for crystalline AcPr3Ga2 at its relaxed geometry.

Results
Symmetry: Pmc2_1 (26)

Cell lengths 4.8818, 9.1468, 8.3888 Å; angles 90.00, 90.00, 90.00 degrees
With the nearest neighbours (Å) after each atom.
Atoms (fractional coordinates):
Ac1 0.0000 0.0872 0.0000  3 Ga 3.26-3.47
Ac2 0.0000 0.9128 0.5000  3 Ga 3.26-3.47
Pr1 0.0000 0.3341 0.6144  4 Ga 2.97-3.11
Pr2 0.0000 0.6659 0.1144  4 Ga 2.97-3.11
Pr3 0.5000 0.1740 0.3348  4 Ga 3.08-3.18
Pr4 0.5000 0.4206 0.9478  5 Ga 3.21-3.57, 2 Pr 3.60
Pr5 0.5000 0.5794 0.4478  5 Ga 3.21-3.57, 2 Pr 3.60
Pr6 0.5000 0.8260 0.8348  4 Ga 3.08-3.18
Ga1 0.0000 0.3639 0.2446  4 Pr 2.97-3.11, 1 Ac 3.26
Ga2 0.0000 0.6361 0.7446  4 Pr 2.97-3.11, 1 Ac 3.26
Ga3 0.5000 0.1438 0.7120  5 Pr 3.08-3.21
Ga4 0.5000 0.8562 0.2120  5 Pr 3.08-3.21

Which one sits at the bottom of the stability order? version a does.